Here is a geometry-optimized NpBi2PdO6 structure from the Alexandria database. Energies are from PBE-GGA.

Calculated values
Formation energy without anion corrections in meV per atom: -1555.5
Raw total energy in eV per atom: -7.120
M_tot in μB/atom: 0.099

a b c (Å): 5.176 5.759 6.155
angles (deg): 117.89 105.88 90.00
Site moments in Bohr magnetons follow the coordinates.
Atoms (fractional coordinates):
1 O 0.832 0.359 0.226  -0.07
2 O 0.673 0.349 0.698  -0.07
3 O 0.832 0.867 0.226  -0.07
4 O 0.168 0.641 0.774  -0.07
5 O 0.168 0.133 0.774  -0.07
6 O 0.327 0.651 0.302  -0.07
7 Np 0.000 0.500 0.000  1.92
8 Pd 0.500 0.000 0.000  -0.55
9 Bi 0.206 0.230 0.459  0.00
10 Bi 0.794 0.770 0.541  0.00


Here is a geometry-optimized LiUAgBr6 structure from the Alexandria database. Energies are from PBE-GGA.

Calculated values
Formation energy without anion corrections in meV per atom: -1117.3
Raw total energy in eV per atom: -4.016
M_tot in μB/atom: 0.222

a b c (Å): 6.776 6.776 12.266
angles (deg): 90.00 90.00 90.00
Site moments in Bohr magnetons follow the coordinates.
Atoms (fractional coordinates):
1 Br 0.807 0.193 0.499  -0.03
2 Br 0.794 0.206 0.829  -0.03
3 Br 0.706 0.706 0.329  -0.03
4 Br 0.206 0.794 0.829  -0.03
5 Br 0.795 0.205 0.171  -0.02
6 Br 0.307 0.307 0.999  -0.03
7 Br 0.294 0.294 0.329  -0.03
8 Br 0.705 0.705 0.671  -0.02
9 Br 0.693 0.693 0.999  -0.03
10 Br 0.205 0.795 0.171  -0.02
11 Br 0.193 0.807 0.499  -0.03
12 Br 0.295 0.295 0.671  -0.02
13 U 0.000 0.000 0.668  2.11
14 U 0.500 0.500 0.168  2.11
15 Ag 0.500 0.500 0.499  -0.01
16 Ag 0.000 0.000 0.999  -0.01
17 Li 0.500 0.500 0.834  0.00
18 Li 0.000 0.000 0.334  0.00


Here is a geometry-optimized NpPd14Pb structure from the Alexandria database. Energies are from PBE-GGA.

Calculated values
Raw total energy in eV per atom: -5.771
ΔH_f (0 K) in eV per atom: -0.1867
M_tot in μB/atom: 0.128

a b c (Å): 5.806 5.806 7.784
angles (deg): 90.00 90.00 90.00
Site moments in Bohr magnetons follow the coordinates.
Atoms (fractional coordinates):
1 Pd 0.375 0.875 0.000  -0.08
2 Pd 0.622 0.622 0.246  -0.07
3 Pd 0.128 0.622 0.754  -0.07
4 Pd 0.622 0.622 0.754  -0.07
5 Pd 0.128 0.128 0.246  -0.07
6 Pd 0.375 0.375 0.000  0.00
7 Pd 0.128 0.622 0.246  -0.07
8 Pd 0.622 0.128 0.754  -0.07
9 Pd 0.875 0.375 0.000  -0.08
10 Pd 0.875 0.375 0.500  -0.05
11 Pd 0.128 0.128 0.754  -0.07
12 Pd 0.622 0.128 0.246  -0.07
13 Pd 0.875 0.875 0.000  -0.10
14 Pd 0.375 0.875 0.500  -0.05
15 Np 0.375 0.375 0.500  2.93
16 Pb 0.875 0.875 0.500  -0.01


Question: What is the formula in the second record?
Answer: LiUAgBr6


Please write out number 1 again, unchanged.
Here is a geometry-optimized NpBi2PdO6 structure from the Alexandria database. Energies are from PBE-GGA.

Calculated values
Formation energy without anion corrections in meV per atom: -1555.5
Raw total energy in eV per atom: -7.120
M_tot in μB/atom: 0.099

a b c (Å): 5.176 5.759 6.155
angles (deg): 117.89 105.88 90.00
Site moments in Bohr magnetons follow the coordinates.
Atoms (fractional coordinates):
1 O 0.832 0.359 0.226  -0.07
2 O 0.673 0.349 0.698  -0.07
3 O 0.832 0.867 0.226  -0.07
4 O 0.168 0.641 0.774  -0.07
5 O 0.168 0.133 0.774  -0.07
6 O 0.327 0.651 0.302  -0.07
7 Np 0.000 0.500 0.000  1.92
8 Pd 0.500 0.000 0.000  -0.55
9 Bi 0.206 0.230 0.459  0.00
10 Bi 0.794 0.770 0.541  0.00